Record 1
# Bi3TeSe6, optimized geometry, DFT GGA-PBE
# Crystal system: monoclinic
# Energy in eV/atom: -3.808
# Magnetization in μB/cell: 0.000
# Density of states at the Fermi level in states/eV/atom: 0.122
# Space group: No. 11
# Formation energy from raw total energies in meV per atom: -239
data_Bi3TeSe6
_symmetry_space_group_name_H-M 'P 1'
_symmetry_Int_Tables_number 1
_symmetry_space_group_name_Hall 'P 1'
_cell_length_a 12.2003
_cell_length_b 4.3972
_cell_length_c 12.5714
_cell_angle_alpha 90.00
_cell_angle_beta 108.00
_cell_angle_gamma 90.00
loop_
_atom_site_label
_atom_site_type_symbol
_atom_site_fract_x
_atom_site_fract_y
_atom_site_fract_z
Bi1 Bi 0.0526 0.2500 0.3450
Bi2 Bi 0.3515 0.7500 0.4392
Bi3 Bi 0.4298 0.2500 0.8605
Bi4 Bi 0.5702 0.7500 0.1395
Bi5 Bi 0.6485 0.2500 0.5608
Bi6 Bi 0.9474 0.7500 0.6550
Te1 Te 0.1507 0.7500 0.9522
Te2 Te 0.8493 0.2500 0.0478
Se1 Se 0.0284 0.2500 0.8787
Se2 Se 0.1253 0.7500 0.4916
Se3 Se 0.2453 0.7500 0.7943
Se4 Se 0.2465 0.2500 0.2783
Se5 Se 0.4011 0.2500 0.0734
Se6 Se 0.4308 0.2500 0.6073
Se7 Se 0.5692 0.7500 0.3927
Se8 Se 0.5989 0.7500 0.9266
Se9 Se 0.7535 0.7500 0.7217
Se10 Se 0.7547 0.2500 0.2057
Se11 Se 0.8747 0.2500 0.5084
Se12 Se 0.9716 0.7500 0.1213


Record 2
# BiTeSe4, optimized geometry, DFT GGA-PBE
# Crystal system: monoclinic
# Energy in eV/atom: -3.571
# Magnetization in μB/cell: 0.000
# Density of states at the Fermi level in states/eV/atom: 0.602
# Space group: No. 10
# Formation energy from raw total energies in meV per atom: -78
data_BiTeSe4
_symmetry_space_group_name_H-M 'P 1'
_symmetry_Int_Tables_number 1
_symmetry_space_group_name_Hall 'P 1'
_cell_length_a 6.7955
_cell_length_b 3.9798
_cell_length_c 6.9925
_cell_angle_alpha 90.00
_cell_angle_beta 112.20
_cell_angle_gamma 90.00
loop_
_atom_site_label
_atom_site_type_symbol
_atom_site_fract_x
_atom_site_fract_y
_atom_site_fract_z
Bi1 Bi 0.0000 0.0000 0.0000
Te1 Te 0.0000 0.5000 0.5000
Se1 Se 0.2692 0.0000 0.7551
Se2 Se 0.2738 0.5000 0.2799
Se3 Se 0.7262 0.5000 0.7201
Se4 Se 0.7308 0.0000 0.2449


Record 3
# BiTeSe2, optimized geometry, DFT GGA-PBE
# Crystal system: trigonal
# Energy in eV/atom: -3.561
# Magnetization in μB/cell: 0.000
# E above lowest polymorph in meV per atom: 0.0
# Density of states at the Fermi level in states/eV/atom: 0.566
# Space group: No. 166
# Formation energy from raw total energies in meV per atom: -63
data_BiTeSe2
_symmetry_space_group_name_H-M 'P 1'
_symmetry_Int_Tables_number 1
_symmetry_space_group_name_Hall 'P 1'
_cell_length_a 4.1286
_cell_length_b 4.1286
_cell_length_c 26.9420
_cell_angle_alpha 90.00
_cell_angle_beta 90.00
_cell_angle_gamma 120.00
loop_
_atom_site_label
_atom_site_type_symbol
_atom_site_fract_x
_atom_site_fract_y
_atom_site_fract_z
Bi1 Bi 0.0000 0.0000 0.0000
Bi2 Bi 0.3333 0.6667 0.6667
Bi3 Bi 0.6667 0.3333 0.3333
Te1 Te 0.0000 0.0000 0.5000
Te2 Te 0.3333 0.6667 0.1667
Te3 Te 0.6667 0.3333 0.8333
Se1 Se 0.0000 0.0000 0.3984
Se2 Se 0.0000 0.0000 0.6016
Se3 Se 0.3333 0.6667 0.0651
Se4 Se 0.3333 0.6667 0.2683
Se5 Se 0.6667 0.3333 0.7317
Se6 Se 0.6667 0.3333 0.9349


Record 4
# BiTe3Se, optimized geometry, DFT GGA-PBE
# Crystal system: cubic
# Energy in eV/atom: -2.507
# Magnetization in μB/cell: 2.526
# E above lowest polymorph in meV per atom: 419.7
# Density of states at the Fermi level in states/eV/atom: 1.783
# Space group: No. 221
# Formation energy from raw total energies in meV per atom: 851
data_BiTe3Se
_symmetry_space_group_name_H-M 'P 1'
_symmetry_Int_Tables_number 1
_symmetry_space_group_name_Hall 'P 1'
_cell_length_a 5.9312
_cell_length_b 5.9312
_cell_length_c 5.9312
_cell_angle_alpha 90.00
_cell_angle_beta 90.00
_cell_angle_gamma 90.00
loop_
_atom_site_label
_atom_site_type_symbol
_atom_site_fract_x
_atom_site_fract_y
_atom_site_fract_z
Bi1 Bi 0.0000 0.0000 0.0000
Te1 Te 0.0000 0.0000 0.5000
Te2 Te 0.0000 0.5000 0.0000
Te3 Te 0.5000 0.0000 0.0000
Se1 Se 0.5000 0.5000 0.5000